#w
# TlHg2Au, PBEsol geometry, DFT SCAN
# * M_tot: 0.0 Bohr magnetons per cell
data_TlHg2Au
_symmetry_space_group_name_H-M 'P 4 m m'
_symmetry_Int_Tables_number 99
_symmetry_space_group_name_Hall 'P 4 -2'
_cell_length_a 3.473
_cell_length_b 3.473
_cell_length_c 7.514
_cell_angle_alpha 90.00
_cell_angle_beta 90.00
_cell_angle_gamma 90.00
loop_
_atom_site_label
_atom_site_type_symbol
_atom_site_fract_x
_atom_site_fract_y
_atom_site_fract_z
Tl1 Tl 0.000 0.000 0.000
Hg1 Hg 0.000 0.000 0.549
Hg2 Hg 0.500 0.500 0.294
Au1 Au 0.500 0.500 0.759

#x
# TlHg2Au, PBEsol geometry, DFT SCAN
# * M_tot: 0.0 Bohr magnetons per cell
data_TlHg2Au
_symmetry_space_group_name_H-M 'F m -3 m'
_symmetry_Int_Tables_number 225
_symmetry_space_group_name_Hall '-F 4 2 3'
_cell_length_a 7.115
_cell_length_b 7.115
_cell_length_c 7.115
_cell_angle_alpha 90.00
_cell_angle_beta 90.00
_cell_angle_gamma 90.00
loop_
_atom_site_label
_atom_site_type_symbol
_atom_site_fract_x
_atom_site_fract_y
_atom_site_fract_z
Tl1 Tl 0.000 0.000 0.000
Hg1 Hg 0.250 0.250 0.250
Au1 Au 0.000 0.000 0.500

Most stable one: #w, least stable one: #x.

#w
# ScTc2Os, PBEsol geometry, DFT SCAN
# * M_tot: 0.0 Bohr magnetons per cell
data_ScTc2Os
_symmetry_space_group_name_H-M 'F -4 3 m'
_symmetry_Int_Tables_number 216
_symmetry_space_group_name_Hall 'F -4 2 3'
_cell_length_a 6.199
_cell_length_b 6.199
_cell_length_c 6.199
_cell_angle_alpha 90.00
_cell_angle_beta 90.00
_cell_angle_gamma 90.00
loop_
_atom_site_label
_atom_site_type_symbol
_atom_site_fract_x
_atom_site_fract_y
_atom_site_fract_z
Sc1 Sc 0.000 0.000 0.000
Tc1 Tc 0.000 0.000 0.500
Tc2 Tc 0.250 0.250 0.250
Os1 Os 0.250 0.250 0.750

#x
# ScTc2Os, PBEsol geometry, DFT SCAN
# * M_tot: 0.0 Bohr magnetons per cell
data_ScTc2Os
_symmetry_space_group_name_H-M 'P 4 m m'
_symmetry_Int_Tables_number 99
_symmetry_space_group_name_Hall 'P 4 -2'
_cell_length_a 2.781
_cell_length_b 2.781
_cell_length_c 7.937
_cell_angle_alpha 90.00
_cell_angle_beta 90.00
_cell_angle_gamma 90.00
loop_
_atom_site_label
_atom_site_type_symbol
_atom_site_fract_x
_atom_site_fract_y
_atom_site_fract_z
Sc1 Sc 0.000 0.000 0.000
Tc1 Tc 0.000 0.000 0.515
Tc2 Tc 0.500 0.500 0.278
Os1 Os 0.500 0.500 0.732

Most stable one: #w, least stable one: #x.

#w
# CaLa2Co, PBEsol geometry, DFT SCAN
# * M_tot: 0.2 Bohr magnetons per cell
data_CaLa2Co
_symmetry_space_group_name_H-M 'I m m m'
_symmetry_Int_Tables_number 71
_symmetry_space_group_name_Hall '-I 2 2'
_cell_length_a 3.653
_cell_length_b 5.829
_cell_length_c 10.528
_cell_angle_alpha 90.00
_cell_angle_beta 90.00
_cell_angle_gamma 90.00
loop_
_atom_site_label
_atom_site_type_symbol
_atom_site_fract_x
_atom_site_fract_y
_atom_site_fract_z
Ca1 Ca 0.000 0.000 0.000
La1 La 0.000 0.500 0.179
Co1 Co 0.000 0.000 0.500

#x
# CaLa2Co, PBEsol geometry, DFT SCAN
# * M_tot: 1.8 Bohr magnetons per cell
data_CaLa2Co
_symmetry_space_group_name_H-M 'C m m m'
_symmetry_Int_Tables_number 65
_symmetry_space_group_name_Hall '-C 2 2'
_cell_length_a 4.447
_cell_length_b 5.522
_cell_length_c 9.678
_cell_angle_alpha 90.00
_cell_angle_beta 90.00
_cell_angle_gamma 90.00
loop_
_atom_site_label
_atom_site_type_symbol
_atom_site_fract_x
_atom_site_fract_y
_atom_site_fract_z
Ca1 Ca 0.000 0.000 0.000
La1 La 0.000 0.500 0.337
Co1 Co 0.000 0.000 0.500

Most stable one: #x, least stable one: #w.

#w
# KFe2Ni, PBEsol geometry, DFT SCAN
# * M_tot: 12.8 Bohr magnetons per cell
data_KFe2Ni
_symmetry_space_group_name_H-M 'C 1 m 1'
_symmetry_Int_Tables_number 8
_symmetry_space_group_name_Hall 'C -2y'
_cell_length_a 7.938
_cell_length_b 2.638
_cell_length_c 6.857
_cell_angle_alpha 90.00
_cell_angle_beta 94.76
_cell_angle_gamma 90.00
loop_
_atom_site_label
_atom_site_type_symbol
_atom_site_fract_x
_atom_site_fract_y
_atom_site_fract_z
K1 K 0.000 0.000 0.000
Fe1 Fe 0.003 0.500 0.519
Fe2 Fe 0.278 0.500 0.367
Ni1 Ni 0.233 0.000 0.648

#x
# KFe2Ni, PBEsol geometry, DFT SCAN
# * M_tot: 6.4 Bohr magnetons per cell
data_KFe2Ni
_symmetry_space_group_name_H-M 'P 4/m m m'
_symmetry_Int_Tables_number 123
_symmetry_space_group_name_Hall '-P 4 2'
_cell_length_a 2.610
_cell_length_b 2.610
_cell_length_c 9.102
_cell_angle_alpha 90.00
_cell_angle_beta 90.00
_cell_angle_gamma 90.00
loop_
_atom_site_label
_atom_site_type_symbol
_atom_site_fract_x
_atom_site_fract_y
_atom_site_fract_z
K1 K 0.000 0.000 0.000
Fe1 Fe 0.500 0.500 0.320
Ni1 Ni 0.000 0.000 0.500

Most stable one: #w, least stable one: #x.

#w
# SrBi2P2, PBEsol geometry, DFT SCAN
# * M_tot: 0.0 Bohr magnetons per cell
data_SrBi2P2
_symmetry_space_group_name_H-M 'P 4/m b m'
_symmetry_Int_Tables_number 127
_symmetry_space_group_name_Hall '-P 4 2ab'
_cell_length_a 8.177
_cell_length_b 8.177
_cell_length_c 3.930
_cell_angle_alpha 90.00
_cell_angle_beta 90.00
_cell_angle_gamma 90.00
loop_
_atom_site_label
_atom_site_type_symbol
_atom_site_fract_x
_atom_site_fract_y
_atom_site_fract_z
Sr1 Sr 0.000 0.000 0.000
Bi1 Bi 0.158 0.342 0.500
P1 P 0.177 0.677 0.000

#x
# SrBi2P2, PBEsol geometry, DFT SCAN
# * M_tot: 0.0 Bohr magnetons per cell
data_SrBi2P2
_symmetry_space_group_name_H-M 'I 4/m m m'
_symmetry_Int_Tables_number 139
_symmetry_space_group_name_Hall '-I 4 2'
_cell_length_a 4.458
_cell_length_b 4.458
_cell_length_c 13.466
_cell_angle_alpha 90.00
_cell_angle_beta 90.00
_cell_angle_gamma 90.00
loop_
_atom_site_label
_atom_site_type_symbol
_atom_site_fract_x
_atom_site_fract_y
_atom_site_fract_z
Sr1 Sr 0.000 0.000 0.000
Bi1 Bi 0.000 0.500 0.250
P1 P 0.000 0.000 0.420

Most stable one: #x, least stable one: #w.

#w
# LiCu2Ni, PBEsol geometry, DFT SCAN
# * M_tot: 0.0 Bohr magnetons per cell
data_LiCu2Ni
_symmetry_space_group_name_H-M 'C m m 2'
_symmetry_Int_Tables_number 35
_symmetry_space_group_name_Hall 'C 2 -2'
_cell_length_a 2.654
_cell_length_b 4.074
_cell_length_c 8.316
_cell_angle_alpha 90.00
_cell_angle_beta 90.00
_cell_angle_gamma 90.00
loop_
_atom_site_label
_atom_site_type_symbol
_atom_site_fract_x
_atom_site_fract_y
_atom_site_fract_z
Li1 Li 0.000 0.000 0.000
Cu1 Cu 0.000 0.000 0.512
Cu2 Cu 0.000 0.500 0.261
Ni1 Ni 0.000 0.500 0.755

#x
# LiCu2Ni, PBEsol geometry, DFT SCAN
# * M_tot: 0.0 Bohr magnetons per cell
data_LiCu2Ni
_symmetry_space_group_name_H-M 'C m m m'
_symmetry_Int_Tables_number 65
_symmetry_space_group_name_Hall '-C 2 2'
_cell_length_a 2.685
_cell_length_b 4.057
_cell_length_c 8.287
_cell_angle_alpha 90.00
_cell_angle_beta 90.00
_cell_angle_gamma 90.00
loop_
_atom_site_label
_atom_site_type_symbol
_atom_site_fract_x
_atom_site_fract_y
_atom_site_fract_z
Li1 Li 0.000 0.000 0.000
Cu1 Cu 0.000 0.500 0.257
Ni1 Ni 0.000 0.000 0.500

Most stable one: #w, least stable one: #x.